Density functional theory data (GGA-PBE) for an optimized crystal structure of SiHgS3.

Lattice parameters (Å, degrees): 8.2924 8.2924 8.2924 128.02 106.92 95.35
With the nearest neighbours (Å) after each atom.
Element x y z (fractional)
Hg: 0.0248 0.9197 0.6051  3 S 2.48-2.53
S: 0.5336 0.2408 0.2601  1 Si 2.05
S: 0.9806 0.7408 0.2072  1 Si 2.05
S: 0.9806 0.2735 0.7399  1 Si 2.05
S: 0.5336 0.7735 0.7928  1 Si 2.05
S: 0.1025 0.7918 0.8108  1 Si 2.06
Hg: 0.3146 0.4197 0.3949  3 S 2.48-2.53
Si: 0.9872 0.4326 0.0547  3 S 2.05-2.06
Si: 0.3779 0.9326 0.9453  3 S 2.05-2.06
S: 0.9810 0.2918 0.1892  1 Si 2.06

Computed properties:
Raw formation energy (eV per formula unit): -1.145
Total magnetization (μB/atom): 0.000
Energy above the most stable polymorph in this dataset (eV per atom): 0.029



Density functional theory data (GGA-PBE) for an optimized crystal structure of SrLi2SmSn2.

Lattice parameters (Å, degrees): 4.8719 4.8719 7.8648 90.00 90.00 120.00
With the nearest neighbours (Å) after each atom.
Element x y z (fractional)
Sn: 0.3333 0.6667 0.2859  3 Li 2.81
Li: 0.6667 0.3333 0.2977  3 Sn 2.81
Sm: 0.0000 0.0000 0.5000  6 Li 3.23, 6 Sn 3.28
Sr: 0.0000 0.0000 0.0000  6 Sn 3.60, 6 Li 3.66, 2 Sm 3.93
Li: 0.3333 0.6667 0.7023  3 Sn 2.81
Sn: 0.6667 0.3333 0.7141  3 Li 2.81

Computed properties:
Total magnetization (μB/atom): 0.000
E_tot (eV per atom): -3.65



Density functional theory data (GGA-PBE) for an optimized crystal structure of InGe2Pb2.

Lattice parameters (Å, degrees): 7.3713 7.3713 4.9238 90.00 90.00 90.00
With the nearest neighbours (Å) after each atom.
Element x y z (fractional)
Pb: 0.1909 0.6909 0.5000  6 Ge 3.13-3.42
Ge: 0.8766 0.6234 0.0000  1 Ge 2.57
Ge: 0.3766 0.8766 0.0000  1 Ge 2.57
Pb: 0.6909 0.8091 0.5000  6 Ge 3.13-3.42
Ge: 0.1234 0.3766 0.0000  1 Ge 2.57
In: 0.5000 0.5000 0.0000  4 Ge 2.92
Pb: 0.3091 0.1909 0.5000  6 Ge 3.13-3.42
Pb: 0.8091 0.3091 0.5000  6 Ge 3.13-3.42
In: 0.0000 0.0000 0.0000  4 Ge 2.92
Ge: 0.6234 0.1234 0.0000  1 Ge 2.57

Computed properties:
Total magnetization (μB/atom): 0.000
Energy above the most stable polymorph in this dataset (eV per atom): 0.000



Density functional theory data (GGA-PBE) for an optimized crystal structure of NdGa4CoRh2.

Lattice parameters (Å, degrees): 4.2038 4.2038 9.0684 76.60 76.60 60.00
With the nearest neighbours (Å) after each atom.
Element x y z (fractional)
Nd: 0.0000 0.0000 0.0000  6 Ga 3.05
Rh: 0.2322 0.2322 0.3035  7 Ga 2.56-2.57
Ga: 0.8660 0.8660 0.4019  4 Rh 2.57, 3 Co 2.57
Ga: 0.4040 0.4040 0.7879  1 Co 2.52, 3 Rh 2.56
Ga: 0.5960 0.5960 0.2121  1 Co 2.52, 3 Rh 2.56
Co: 0.5000 0.5000 0.5000  8 Ga 2.52-2.57
Rh: 0.7678 0.7678 0.6965  7 Ga 2.56-2.57
Ga: 0.1340 0.1340 0.5981  4 Rh 2.57, 3 Co 2.57

Computed properties:
Total magnetization (μB/atom): 0.000
E_tot (eV per atom): -5.44



Density functional theory data (GGA-PBE) for an optimized crystal structure of TlGa2CuTe4.

Lattice parameters (Å, degrees): 7.7547 6.6191 6.6191 71.92 54.14 54.14
With the nearest neighbours (Å) after each atom.
Element x y z (fractional)
Ga: 0.5000 0.3181 0.6819  4 Te 2.82-2.97, 1 Ga 2.83
Ga: 0.5000 0.6819 0.3181  4 Te 2.82-2.97, 1 Ga 2.83
Tl: 0.0000 0.0000 0.0000  8 Te 3.26-3.62
Cu: 0.0000 0.5000 0.5000  4 Te 2.54
Te: 0.0433 0.4033 0.1244  1 Cu 2.54, 1 Ga 2.82
Te: 0.9567 0.8756 0.5967  1 Cu 2.54, 1 Ga 2.82
Te: 0.5711 0.5967 0.8756  1 Cu 2.54, 1 Ga 2.82
Te: 0.4289 0.1244 0.4033  1 Cu 2.54, 1 Ga 2.82

Computed properties:
Raw formation energy (eV per formula unit): -0.629
Total magnetization (μB/atom): 0.000



Density functional theory data (GGA-PBE) for an optimized crystal structure of Cu2AgAs2.

Lattice parameters (Å, degrees): 7.4062 7.4062 2.9678 90.00 90.00 90.00
With the nearest neighbours (Å) after each atom.
Element x y z (fractional)
Cu: 0.8759 0.6241 0.0000  6 As 2.58-2.68, 1 Cu 2.60
Cu: 0.6241 0.1241 0.0000  6 As 2.58-2.68, 1 Cu 2.60
As: 0.6739 0.8261 0.5000  6 Cu 2.58-2.68
Ag: 0.5000 0.5000 0.0000  4 Cu 2.93, 2 Ag 2.97, 8 As 3.11
As: 0.3261 0.1739 0.5000  6 Cu 2.58-2.68
Cu: 0.1241 0.3759 0.0000  6 As 2.58-2.68, 1 Cu 2.60
As: 0.8261 0.3261 0.5000  6 Cu 2.58-2.68
Cu: 0.3759 0.8759 0.0000  6 As 2.58-2.68, 1 Cu 2.60
Ag: 0.0000 0.0000 0.0000  4 Cu 2.93, 2 Ag 2.97, 8 As 3.11
As: 0.1739 0.6739 0.5000  6 Cu 2.58-2.68

Computed properties:
Total magnetization (μB/atom): 0.000
Energy above the most stable polymorph in this dataset (eV per atom): 0.010



no.,calculated volume (A^3/atom)
1,40.077
2,26.944
3,26.754
4,16.716
5,27.861
6,16.279